Compound: Tm3AlGe
Source: the Alexandria database
Functional: GGA-PBE
Structure: optimized geometry

Cell: 5.918 10.005 10.005 Å, 67.16 71.46 71.46°
Element x y z (fractional)
Ge: 0.356 0.140 0.380
Ge: 0.644 0.860 0.620
Ge: 0.144 0.620 0.860
Ge: 0.856 0.380 0.140
Tm: 0.570 0.541 0.669
Tm: 0.454 0.150 0.642
Tm: 0.070 0.669 0.541
Tm: 0.574 0.694 0.930
Tm: 0.046 0.358 0.850
Tm: 0.074 0.930 0.694
Tm: 0.430 0.459 0.331
Tm: 0.954 0.642 0.150
Tm: 0.426 0.306 0.070
Tm: 0.930 0.331 0.459
Tm: 0.546 0.850 0.358
Tm: 0.926 0.070 0.306
Al: 0.750 0.205 0.795
Al: 0.250 0.795 0.205
Al: 0.750 0.972 0.028
Al: 0.250 0.028 0.972

ΔE_f = -337 meV/atom
SG = C2/c

Compound: LiTh2Ga
Source: the Alexandria database
Functional: GGA-PBE
Structure: optimized geometry

Cell: 3.354 3.354 11.886 Å, 81.89 81.89 60.00°
Element x y z (fractional)
Th: 0.095 0.095 0.715
Th: 0.905 0.905 0.285
Ga: 0.500 0.500 0.500
Li: 0.000 0.000 0.000

ΔE_f = 127 meV/atom
SG = R-3m

Compound: Y2CdO
Source: the Alexandria database
Functional: GGA-PBE
Structure: optimized geometry

Cell: 3.496 3.496 9.149 Å, 78.98 78.98 60.00°
Element x y z (fractional)
Y: 0.883 0.883 0.351
Y: 0.117 0.117 0.649
O: 0.500 0.500 0.500
Cd: 0.000 0.000 0.000

SG = R-3m
Total energy = -5.868 eV/atom

Compound: Li4I2BrCl
Source: the Alexandria database
Functional: GGA-PBE
Structure: optimized geometry

Cell: 6.947 7.478 8.669 Å, 90.00 90.00 90.00°
Element x y z (fractional)
Li: 0.403 0.688 0.740
Li: 0.863 0.870 0.000
Li: 0.903 0.312 0.240
Li: 0.842 0.852 0.500
Li: 0.342 0.148 0.000
Li: 0.363 0.130 0.500
Li: 0.903 0.312 0.760
Li: 0.403 0.688 0.260
I: 0.999 0.676 0.750
I: 0.499 0.324 0.250
I: 0.499 0.324 0.750
I: 0.999 0.676 0.250
Cl: 0.997 0.166 0.000
Cl: 0.497 0.834 0.500
Br: 0.996 0.162 0.500
Br: 0.496 0.838 0.000

SG = Pmn2_1
Total energy = -3.226 eV/atom

Compound: BeAlInSe4
Source: the Alexandria database
Functional: GGA-PBE
Structure: optimized geometry

Cell: 5.675 5.675 6.723 Å, 114.97 114.97 90.00°
Element x y z (fractional)
Al: 0.000 0.000 0.000
Se: 0.368 0.901 0.285
Se: 0.616 0.632 0.715
Se: 0.099 0.083 0.715
Se: 0.917 0.384 0.285
Be: 0.250 0.750 0.500
In: 0.500 0.500 0.000

SG = I-4
Total energy = -4.175 eV/atom

Compound: La4Ho3TmS8
Source: the Alexandria database
Functional: GGA-PBE
Structure: optimized geometry

Cell: 7.944 8.116 7.944 Å, 119.31 120.00 90.00°
Element x y z (fractional)
S: 0.241 0.725 0.481
S: 0.744 0.725 0.985
S: 0.759 0.275 0.519
S: 0.256 0.275 0.015
S: 0.258 0.273 0.516
S: 0.742 0.727 0.484
S: 0.241 0.725 0.985
S: 0.759 0.275 0.015
La: 0.500 0.000 0.500
La: 0.500 0.000 0.000
La: 0.000 0.000 0.500
La: 0.000 0.000 0.000
Ho: 0.500 0.500 0.000
Ho: 0.000 0.500 0.500
Ho: 0.500 0.500 0.500
Tm: 0.000 0.500 0.000

SG = R-3m
Total energy = -6.506 eV/atom

Compound: AcTmCu
Source: the Alexandria database
Functional: GGA-PBE
Structure: optimized geometry

Cell: 3.657 3.657 6.844 Å, 105.50 105.50 90.00°
Element x y z (fractional)
Ac: 0.017 0.017 0.034
Tm: 0.293 0.293 0.587
Cu: 0.690 0.690 0.379

ΔE_f = -63 meV/atom
SG = I4mm

Compound: BaSc2Cd2
Source: the Alexandria database
Functional: GGA-PBE
Structure: optimized geometry

Cell: 5.410 5.410 6.688 Å, 66.14 66.14 90.00°
Site moments in Bohr magnetons follow the coordinates.
Element x y z (fractional)
Cd: 0.250 0.750 0.500  0.02
Cd: 0.750 0.250 0.500  0.02
Sc: 0.352 0.352 0.296  0.38
Sc: 0.648 0.648 0.704  0.38
Ba: 0.000 0.000 0.000  0.04

ΔE_f = 90 meV/atom
SG = I4/mmm

Compound: MgAs2Pb
Source: the Alexandria database
Functional: GGA-PBE
Structure: optimized geometry

Cell: 3.893 3.844 6.903 Å, 90.00 90.00 90.00°
Element x y z (fractional)
Mg: 0.000 0.000 0.340
As: 0.000 0.000 0.948
As: 0.500 0.500 0.406
Pb: 0.500 0.500 0.806

ΔE_f = -96 meV/atom
SG = Pmm2

Compound: KSr3
Source: the Alexandria database
Functional: GGA-PBE
Structure: optimized geometry

Cell: 14.671 14.671 14.671 Å, 16.85 16.85 16.85°
Element x y z (fractional)
K: 0.000 0.000 0.000
Sr: 0.754 0.754 0.754
Sr: 0.500 0.500 0.500
Sr: 0.246 0.246 0.246

ΔE_f = 49 meV/atom
SG = R-3m

Compound: GaSbAu
Source: the Alexandria database
Functional: GGA-PBE
Structure: optimized geometry

Cell: 4.175 5.653 6.715 Å, 114.85 107.84 89.87°
Element x y z (fractional)
Sb: 0.504 0.548 0.833
Sb: 0.195 0.746 0.232
Ga: 0.821 0.365 0.472
Ga: 0.513 0.067 0.872
Au: 0.867 0.919 0.578
Au: 0.169 0.217 0.173

SG = P1
Total energy = -3.534 eV/atom

Compound: KY2Si
Source: the Alexandria database
Functional: GGA-PBE
Structure: optimized geometry

Cell: 4.920 4.921 4.482 Å, 90.00 90.00 90.00°
Element x y z (fractional)
Si: 0.000 0.500 0.500
Y: 0.500 0.500 0.000
Y: 0.000 0.000 0.000
K: 0.500 0.000 0.500

SG = P4/mmm
Total energy = -4.662 eV/atom

Compound: MoPt3Rh
Source: the Alexandria database
Functional: GGA-PBE
Structure: optimized geometry

Cell: 4.332 5.503 6.915 Å, 90.00 108.28 90.00°
Element x y z (fractional)
Pt: 0.107 0.504 0.215
Pt: 0.304 0.750 0.607
Pt: 0.107 0.996 0.215
Pt: 0.893 0.004 0.785
Pt: 0.893 0.496 0.785
Pt: 0.696 0.250 0.393
Rh: 0.512 0.750 0.025
Rh: 0.488 0.250 0.975
Mo: 0.697 0.750 0.394
Mo: 0.303 0.250 0.606

ΔE_f = -119 meV/atom
SG = Cmcm

Compound: K3Tl13
Source: the Alexandria database
Functional: GGA-PBE
Structure: optimized geometry

Cell: 7.962 7.962 8.234 Å, 90.00 90.00 90.48°
Element x y z (fractional)
Tl: 0.006 0.507 0.741
Tl: 0.727 0.273 0.500
Tl: 0.260 0.740 0.000
Tl: 0.495 0.505 0.242
Tl: 0.729 0.727 0.500
Tl: 0.273 0.271 0.500
Tl: 0.493 0.994 0.741
Tl: 0.006 0.507 0.259
Tl: 0.735 0.746 0.000
Tl: 0.254 0.265 0.000
Tl: 0.495 0.505 0.758
Tl: 0.274 0.726 0.500
Tl: 0.493 0.994 0.259
K: 0.008 0.992 0.267
K: 0.008 0.992 0.733
K: 0.743 0.257 0.000

ΔE_f = -43 meV/atom
SG = Amm2

Compound: InP2Pt2
Source: the Alexandria database
Functional: GGA-PBE
Structure: optimized geometry

Cell: 4.200 4.200 6.604 Å, 71.46 71.46 90.00°
Element x y z (fractional)
P: 0.649 0.649 0.702
P: 0.351 0.351 0.298
In: 0.000 0.000 0.000
Pt: 0.250 0.750 0.500
Pt: 0.750 0.250 0.500

ΔE_f = -162 meV/atom
SG = I4/mmm

Compound: Rb2ScGeI6
Source: the Alexandria database
Functional: GGA-PBE
Structure: optimized geometry

Cell: 8.453 8.453 8.517 Å, 60.25 60.25 90.00°
Site moments in Bohr magnetons follow the coordinates.
Element x y z (fractional)
Rb: 0.750 0.250 0.500  0.00
Rb: 0.250 0.750 0.500  0.00
I: 0.745 0.255 0.000  0.00
I: 0.258 0.258 0.485  0.00
I: 0.255 0.745 0.000  0.00
I: 0.745 0.745 0.000  0.00
I: 0.742 0.742 0.515  0.00
I: 0.255 0.255 0.000  0.00
Ge: 0.000 0.000 0.000  0.23
Sc: 0.500 0.500 0.000  0.39

SG = I4/mmm
Total energy = -3.182 eV/atom

Compound: AcMgNi2As2
Source: the Alexandria database
Functional: GGA-PBE
Structure: optimized geometry

Cell: 4.197 4.197 7.264 Å, 90.00 90.00 120.00°
Element x y z (fractional)
As: 0.333 0.667 0.289
As: 0.667 0.333 0.711
Ac: 0.000 0.000 0.000
Mg: 0.000 0.000 0.500
Ni: 0.333 0.667 0.661
Ni: 0.667 0.333 0.339

ΔE_f = -738 meV/atom
SG = P-3m1

Compound: ZrMnPt3
Source: the Alexandria database
Functional: GGA-PBE
Structure: optimized geometry

Cell: 4.623 4.623 4.623 Å, 90.00 90.00 90.00°
Site moments in Bohr magnetons follow the coordinates.
Element x y z (fractional)
Mn: 0.000 0.000 0.000  3.29
Pt: 0.000 0.500 0.000  0.15
Pt: 0.000 0.000 0.500  0.29
Pt: 0.500 0.000 0.000  0.07
Zr: 0.500 0.500 0.500  -0.14

ΔE_f = 340 meV/atom
SG = Pm-3m

Compound: TaZnO2
Source: the Alexandria database
Functional: GGA-PBE
Structure: optimized geometry

Cell: 7.303 7.303 7.303 Å, 23.03 23.03 23.03°
Element x y z (fractional)
O: 0.108 0.108 0.108
O: 0.892 0.892 0.892
Zn: 0.000 0.000 0.000
Ta: 0.500 0.500 0.500

SG = R-3m
Total energy = -7.373 eV/atom

Compound: BaLi2BeFe
Source: the Alexandria database
Functional: GGA-PBE
Structure: optimized geometry

Cell: 5.130 4.908 5.130 Å, 90.00 90.00 90.00°
Site moments in Bohr magnetons follow the coordinates.
Element x y z (fractional)
Li: 0.000 0.000 0.500  -0.03
Li: 0.500 0.000 0.000  -0.03
Fe: 0.000 0.500 0.000  2.09
Be: 0.500 0.500 0.500  -0.01
Ba: 0.000 0.000 0.000  -0.22

ΔE_f = 1747 meV/atom
SG = P4/mmm